{
  "formula": "Nb2FeNO",
  "functional": "GGA+U",
  "state": "relaxed",
  "final_energy_ev_per_atom": -6.61,
  "lattice": [[4.614, 0.000, 0.000], [0.000, 3.345, 0.000], [0.000, 0.000, 4.614]],
  "species": ["Fe", "N", "O", "Nb", "Nb"],
  "frac_coords": [[0.000, 0.000, 0.000], [0.000, 0.500, 0.000], [0.500, 0.500, 0.500], [0.500, 0.000, 0.000], [0.000, 0.000, 0.500]]
}